Here is a relaxed structure of Zn2PHO5 from the Alexandria database. Energies are from GGA-PBE.

a b c (Å): 6.064 8.217 8.390
angles (deg): 90.00 90.00 90.00
Fractional coordinates of all 36 atoms:
Zn 0.753 0.000 0.500
Zn 0.747 0.500 0.000
Zn 0.247 0.000 0.500
Zn 0.253 0.500 0.000
Zn 0.000 0.136 0.863
Zn 0.000 0.864 0.137
Zn 0.500 0.636 0.637
Zn 0.500 0.364 0.363
P 0.500 0.250 0.739
P 0.500 0.750 0.261
P 0.000 0.750 0.761
P 0.000 0.250 0.239
H 0.000 0.224 0.578
H 0.000 0.776 0.422
H 0.500 0.724 0.922
H 0.500 0.276 0.078
O 0.000 0.115 0.624
O 0.000 0.885 0.376
O 0.500 0.615 0.876
O 0.500 0.385 0.124
O 0.708 0.734 0.153
O 0.708 0.266 0.847
O 0.792 0.234 0.347
O 0.792 0.766 0.653
O 0.000 0.114 0.109
O 0.000 0.886 0.891
O 0.500 0.614 0.391
O 0.500 0.386 0.609
O 0.000 0.416 0.147
O 0.000 0.584 0.853
O 0.500 0.916 0.353
O 0.500 0.084 0.647
O 0.208 0.234 0.347
O 0.208 0.766 0.653
O 0.292 0.734 0.153
O 0.292 0.266 0.847

Output
DFT total energy = -206.624 eV/cell
distance to the lowest polymorph of the same formula = 0.09 eV/f.u.